This record from Alexandria via LeMat-Bulk describes crystalline Tm8NiOs2 at its relaxed geometry. The functional is PBE.

Cell and atoms, written as POSCAR:
```
Tm8NiOs2
1.0
8.641 -2.346 0.000
8.641 2.346 0.000
-2.062 0.000 6.526
Tm Ni Os
8 1 2
direct
0.031 0.031 0.291 Tm
0.207 0.207 0.813 Tm
0.332 0.332 0.539 Tm
0.402 0.402 0.038 Tm
0.598 0.598 0.962 Tm
0.668 0.668 0.461 Tm
0.793 0.793 0.187 Tm
0.969 0.969 0.709 Tm
0.500 0.500 0.500 Ni
0.184 0.184 0.202 Os
0.816 0.816 0.798 Os
```

## Properties
electronic total energy	-6.07	eV per atom
energy of formation	-0.25	eV per atom
symmetry	No. 12



This record from Alexandria via LeMat-Bulk describes crystalline Tm3Ni2Os at its relaxed geometry. The functional is PBE.

Cell and atoms, written as POSCAR:
```
Tm3Ni2Os
1.0
2.363 -7.077 0.000
2.363 7.077 0.000
0.000 0.000 6.711
Tm Ni Os
6 4 2
direct
0.000 0.000 0.250 Tm
0.000 0.000 0.750 Tm
0.333 0.667 0.249 Tm
0.333 0.667 0.751 Tm
0.667 0.333 0.249 Tm
0.667 0.333 0.751 Tm
0.167 0.833 0.500 Ni
0.500 0.500 0.000 Ni
0.500 0.500 0.500 Ni
0.833 0.167 0.500 Ni
0.165 0.835 0.000 Os
0.835 0.165 0.000 Os
```

## Properties
electronic total energy	-6.43	eV per atom
energy of formation	-0.40	eV per atom
symmetry	No. 65



This record from Alexandria via LeMat-Bulk describes crystalline Tm4NiOs at its relaxed geometry. The functional is PBE.

Cell and atoms, written as POSCAR:
```
Tm4NiOs
1.0
6.665 0.000 0.000
0.000 6.724 0.000
-0.073 0.000 6.686
Tm Ni Os
8 2 2
direct
0.165 0.162 0.340 Tm
0.165 0.338 0.840 Tm
0.333 0.667 0.333 Tm
0.333 0.833 0.833 Tm
0.667 0.167 0.167 Tm
0.667 0.333 0.667 Tm
0.835 0.662 0.160 Tm
0.835 0.838 0.660 Tm
0.500 0.000 0.500 Ni
0.500 0.500 0.000 Ni
0.000 0.000 0.000 Os
0.000 0.500 0.500 Os
```

## Properties
electronic total energy	-6.06	eV per atom
energy of formation	-0.24	eV per atom
symmetry	No. 14



This record from Alexandria via LeMat-Bulk describes crystalline Tm4NiOs at its relaxed geometry. The functional is PBE.

Cell and atoms, written as POSCAR:
```
Tm4NiOs
1.0
5.991 0.000 0.000
0.000 6.412 0.000
-2.410 0.000 7.286
Tm Ni Os
8 2 2
direct
0.005 0.000 0.265 Tm
0.005 0.500 0.265 Tm
0.419 0.250 0.094 Tm
0.452 0.250 0.624 Tm
0.548 0.750 0.376 Tm
0.581 0.750 0.906 Tm
0.995 0.000 0.735 Tm
0.995 0.500 0.735 Tm
0.252 0.750 0.570 Ni
0.748 0.250 0.430 Ni
0.198 0.750 0.045 Os
0.802 0.250 0.955 Os
```

## Properties
electronic total energy	-6.10	eV per atom
energy of formation	-0.28	eV per atom
symmetry	No. 11



This record from Alexandria via LeMat-Bulk describes crystalline TmUNiOs at its relaxed geometry. The functional is PBE.

Cell and atoms, written as POSCAR:
```
TmUNiOs
1.0
0.000 3.359 3.359
3.359 0.000 3.359
3.359 3.359 0.000
Tm U Ni Os
1 1 1 1
direct
0.000 0.000 0.000 Tm
0.500 0.500 0.500 U
0.750 0.750 0.750 Ni
0.250 0.250 0.250 Os
```

## Properties
electronic total energy	-8.34	eV per atom
energy of formation	-0.15	eV per atom
symmetry	No. 216



This record from Alexandria via LeMat-Bulk describes crystalline TmZrNiOs at its relaxed geometry. The functional is PBE.

Cell and atoms, written as POSCAR:
```
TmZrNiOs
1.0
3.285 0.000 0.000
0.000 3.285 0.000
0.000 0.000 6.730
Tm Zr Ni Os
1 1 1 1
direct
0.000 0.000 0.000 Tm
0.000 0.000 0.500 Zr
0.500 0.500 0.730 Ni
0.500 0.500 0.270 Os
```

## Properties
electronic total energy	-7.93	eV per atom
energy of formation	-0.42	eV per atom
symmetry	No. 99